Entry 1:
MnSNF2: optimized geometry, PBE+U.

```
MnSNF2
1.0
3.849 0.000 0.000
0.000 3.849 0.000
0.000 0.000 4.377
Mn S N F
1 1 1 2
Cartesian
0.000 0.000 0.000
1.924 1.924 2.188
0.000 0.000 2.188
0.000 1.924 0.000
1.924 0.000 0.000
```

Calculated values
E above lowest polymorph	0.0	meV/atom
SG	P4/mmm, No. 123
density of states at the Fermi level	3.24	states/eV/cell

Entry 2:
MnSbNF2: optimized geometry, PBE+U.

```
MnSbNF2
1.0
4.455 0.000 0.000
0.000 4.455 0.000
0.000 0.000 4.267
Mn Sb N F
1 1 1 2
Cartesian
0.000 0.000 0.000
2.227 2.227 2.133
2.227 2.227 0.000
0.000 2.227 2.133
2.227 0.000 2.133
```

Calculated values
E above lowest polymorph	299.9	meV/atom
SG	P4/mmm, No. 123
density of states at the Fermi level	2.00	states/eV/cell

Entry 3:
MnSbNF2: optimized geometry, PBE+U.

```
MnSbNF2
1.0
4.014 0.000 0.000
0.000 4.014 0.000
0.000 0.000 4.285
Mn Sb N F
1 1 1 2
Cartesian
0.000 0.000 0.000
2.007 2.007 2.142
0.000 0.000 2.142
0.000 2.007 0.000
2.007 0.000 0.000
```

Calculated values
E above lowest polymorph	0.0	meV/atom
SG	P4/mmm, No. 123
density of states at the Fermi level	1.68	states/eV/cell